Ba3Nb2CoO9 | PBE with a Hubbard U | relaxed

- Energy above the most stable polymorph in this dataset: 0 meV/atom
- Crystal system: trigonal
- DFT total energy: -114.8 eV per cell

Cell lengths 5.791, 5.791, 7.121 Å; angles 90.00, 90.00, 120.00 degrees
Each line ends with the local moment (μB).
Atoms (fractional coordinates):
O  0.170  0.341  0.327  0.03
Nb  0.667  0.333  0.822  0.03
Ba  0.000  0.000  0.000  0.00
O  0.000  0.500  0.000  0.01
Nb  0.333  0.667  0.178  0.03
Ba  0.667  0.333  0.336  0.00
O  0.170  0.830  0.327  0.03
O  0.659  0.830  0.327  0.04
O  0.830  0.170  0.673  0.03
O  0.500  0.500  0.000  0.01
O  0.341  0.170  0.673  0.04
Ba  0.333  0.667  0.664  0.00
O  0.500  0.000  0.000  0.01
Co  0.000  0.000  0.500  2.72
O  0.830  0.659  0.673  0.03



Ba8Nb6CoO24 | PBE with a Hubbard U | relaxed

- Crystal system: monoclinic
- DFT total energy: -306.3 eV per cell

Cell lengths 5.809, 5.811, 18.960 Å; angles 90.01, 89.97, 119.96 degrees
Each line ends with the local moment (μB).
Atoms (fractional coordinates):
O  0.829  0.170  0.065  -0.01
O  0.171  0.830  0.935  -0.01
O  0.335  0.168  0.692  0.00
O  0.501  0.499  0.813  0.00
O  0.832  0.168  0.692  0.00
Ba  0.000  0.000  0.814  0.00
Nb  0.000  0.000  0.386  0.00
O  0.002  0.501  0.187  0.00
O  0.499  0.501  0.187  0.00
O  0.830  0.658  0.065  0.02
O  0.499  0.998  0.187  0.00
Ba  0.333  0.667  0.456  0.00
Nb  0.667  0.333  0.746  0.00
O  0.168  0.335  0.308  0.00
O  0.834  0.166  0.430  0.00
Ba  0.667  0.333  0.544  0.00
O  0.998  0.499  0.813  0.00
Nb  0.333  0.667  0.254  0.00
Ba  0.667  0.333  0.318  0.00
O  0.665  0.832  0.308  0.00
Ba  0.333  0.668  0.061  0.00
Ba  0.333  0.667  0.682  0.00
O  0.501  0.002  0.813  0.00
O  0.170  0.342  0.935  0.02
O  0.658  0.830  0.935  0.02
Ba  0.667  0.332  0.939  0.00
Nb  0.333  0.666  0.879  0.01
O  0.342  0.170  0.065  0.02
O  0.166  0.834  0.570  0.00
Ba  0.000  0.000  0.186  0.00
O  0.166  0.331  0.570  0.00
O  0.668  0.834  0.570  0.00
O  0.834  0.669  0.430  0.00
Nb  0.000  0.000  0.614  0.00
O  0.168  0.832  0.308  0.00
Co  0.000  0.000  0.000  0.92
O  0.332  0.166  0.430  0.00
O  0.832  0.665  0.692  0.00
Nb  0.667  0.334  0.121  0.01